Computed, not measured: crystalline NdEu2Dy at its relaxed geometry at the PBE level of DFT.

Results
- energy above the most stable polymorph in this dataset (eV/atom) = 0.063
- energy of formation (eV per atom) = 0.15

a = 5.991 Å, b = 5.991 Å, c = 4.059 Å
α = 90.00°, β = 90.00°, γ = 90.00°
Sites, in units of the cell vectors:
Nd (0.000, 0.000, 0.000)
Eu (0.000, 0.500, 0.500)
Eu (0.500, 0.000, 0.500)
Dy (0.500, 0.500, 0.000)


Computed, not measured: crystalline TbURu2 at its relaxed geometry at the PBE level of DFT.

Results
- energy of formation (eV per atom) = -0.37

a = 6.231 Å, b = 5.196 Å, c = 10.051 Å
α = 90.00°, β = 90.00°, γ = 90.00°
Sites, in units of the cell vectors:
Tb (0.188, 0.250, 0.153)
Tb (0.312, 0.750, 0.653)
Tb (0.688, 0.250, 0.347)
Tb (0.812, 0.750, 0.847)
U (0.006, 0.250, 0.637)
U (0.494, 0.750, 0.137)
U (0.506, 0.250, 0.863)
U (0.994, 0.750, 0.363)
Ru (0.063, 0.250, 0.867)
Ru (0.209, 0.250, 0.445)
Ru (0.291, 0.750, 0.945)
Ru (0.437, 0.750, 0.367)
Ru (0.563, 0.250, 0.633)
Ru (0.709, 0.250, 0.055)
Ru (0.791, 0.750, 0.555)
Ru (0.937, 0.750, 0.133)


Computed, not measured: crystalline InPd3Au at its relaxed geometry at the PBE level of DFT.

Results
- energy above the most stable polymorph in this dataset (eV/atom) = 0.318
- energy of formation (eV per atom) = 0.02

a = 6.455 Å, b = 6.455 Å, c = 5.139 Å
α = 90.00°, β = 90.00°, γ = 110.46°
Sites, in units of the cell vectors:
In (0.170, 0.830, 0.750)
In (0.830, 0.170, 0.250)
Pd (0.125, 0.242, 0.750)
Pd (0.242, 0.125, 0.250)
Pd (0.277, 0.723, 0.250)
Pd (0.723, 0.277, 0.750)
Pd (0.758, 0.875, 0.750)
Pd (0.875, 0.758, 0.250)
Au (0.500, 0.500, 0.000)
Au (0.500, 0.500, 0.500)


Computed, not measured: crystalline TcRuCl2 at its relaxed geometry at the PBE level of DFT.

Results
- energy above the most stable polymorph in this dataset (eV/atom) = 0.310
- formation energy without anion corrections (eV per atom) = 0.245

a = 8.872 Å, b = 8.872 Å, c = 8.872 Å
α = 160.53°, β = 158.26°, γ = 29.35°
Sites, in units of the cell vectors:
Tc (0.000, 0.000, 0.000)
Ru (0.410, 0.910, 0.500)
Cl (0.592, 0.592, 0.000)
Cl (0.814, 0.314, 0.500)


Computed, not measured: crystalline ThBBr at its relaxed geometry at the PBE level of DFT.

Results
- energy above the most stable polymorph in this dataset (eV/atom) = 0.000
- formation energy without anion corrections (eV per atom) = -0.952

a = 3.587 Å, b = 3.587 Å, c = 12.455 Å
α = 98.46°, β = 98.46°, γ = 60.03°
Sites, in units of the cell vectors:
Th (0.053, 0.053, 0.156)
Th (0.947, 0.947, 0.844)
B (0.334, 0.334, 0.000)
B (0.666, 0.666, 0.000)
Br (0.218, 0.218, 0.662)
Br (0.782, 0.782, 0.338)


Computed, not measured: crystalline NdPa3P4 at its relaxed geometry at the PBE level of DFT.

Results
- energy of formation (eV per atom) = -1.36

a = 6.946 Å, b = 6.946 Å, c = 4.009 Å
α = 90.00°, β = 90.00°, γ = 109.49°
Sites, in units of the cell vectors:
Nd (0.000, 0.000, 0.000)
Pa (0.000, 0.500, 0.500)
Pa (0.500, 0.000, 0.500)
Pa (0.500, 0.500, 0.000)
P (0.254, 0.746, 0.000)
P (0.259, 0.259, 0.500)
P (0.741, 0.741, 0.500)
P (0.746, 0.254, 0.000)


Computed, not measured: crystalline MnTePb2 at its relaxed geometry at the PBE level of DFT.

Results
- formation energy without anion corrections (eV per atom) = 0.139

a = 5.992 Å, b = 5.992 Å, c = 6.203 Å
α = 117.94°, β = 117.94°, γ = 34.81°
Sites, in units of the cell vectors:
Mn (0.000, 0.000, 0.000)
Te (0.368, 0.368, 0.640)
Pb (0.571, 0.571, 0.425)
Pb (0.736, 0.736, 0.042)


Computed, not measured: crystalline PC at its relaxed geometry at the PBE level of DFT.

Results
- energy above the most stable polymorph in this dataset (eV/atom) = 0.544
- energy of formation (eV per atom) = 0.86

a = 2.999 Å, b = 2.999 Å, c = 2.999 Å
α = 120.16°, β = 103.46°, γ = 105.35°
Sites, in units of the cell vectors:
P (0.000, 0.000, 0.000)
C (0.690, 0.190, 0.500)


Computed, not measured: crystalline H2BrCl at its relaxed geometry at the PBE level of DFT.

Results
- energy above the most stable polymorph in this dataset (eV/atom) = 0.000

a = 4.506 Å, b = 7.081 Å, c = 7.181 Å
α = 101.86°, β = 100.89°, γ = 101.34°
Sites, in units of the cell vectors:
H (0.200, 0.248, 0.439)
H (0.296, 0.534, 0.254)
H (0.704, 0.466, 0.746)
H (0.800, 0.752, 0.561)
Br (0.483, 0.728, 0.254)
Br (0.517, 0.272, 0.746)
Cl (0.023, 0.240, 0.268)
Cl (0.977, 0.760, 0.732)


Computed, not measured: crystalline AgMoH at its relaxed geometry at the PBE level of DFT.

Results
- energy above the most stable polymorph in this dataset (eV/atom) = 0.104

a = 4.571 Å, b = 4.571 Å, c = 4.571 Å
α = 110.57°, β = 107.05°, γ = 110.81°
Sites, in units of the cell vectors:
Ag (0.000, 0.000, 0.000)
Ag (0.500, 0.000, 0.500)
Mo (0.255, 0.505, 0.750)
Mo (0.745, 0.495, 0.250)
H (0.500, 0.000, 0.000)
H (0.500, 0.500, 0.500)


Computed, not measured: crystalline Co2CuHIr at its relaxed geometry at the PBE level of DFT.

Results
- energy above the most stable polymorph in this dataset (eV/atom) = 0.000

a = 3.702 Å, b = 3.702 Å, c = 3.780 Å
α = 90.00°, β = 90.00°, γ = 90.00°
Sites, in units of the cell vectors:
Co (0.000, 0.500, 0.000)
Co (0.500, 0.000, 0.000)
Cu (0.000, 0.000, 0.500)
H (0.500, 0.500, 0.000)
Ir (0.500, 0.500, 0.500)


Computed, not measured: crystalline CeScZnCd at its relaxed geometry at the PBE level of DFT.

Results
- energy above the most stable polymorph in this dataset (eV/atom) = 0.059
- energy of formation (eV per atom) = -0.19

a = 5.107 Å, b = 5.107 Å, c = 5.107 Å
α = 60.00°, β = 60.00°, γ = 60.00°
Sites, in units of the cell vectors:
Ce (0.000, 0.000, 0.000)
Sc (0.500, 0.500, 0.500)
Zn (0.250, 0.250, 0.250)
Cd (0.750, 0.750, 0.750)


Computed, not measured: crystalline CsCd2HgAu at its relaxed geometry at the PBE level of DFT.

Results
- energy above the most stable polymorph in this dataset (eV/atom) = 0.054
- energy of formation (eV per atom) = -0.08

a = 5.432 Å, b = 5.432 Å, c = 6.729 Å
α = 90.00°, β = 90.00°, γ = 90.00°
Sites, in units of the cell vectors:
Cs (0.000, 0.000, 0.000)
Cd (0.000, 0.500, 0.500)
Cd (0.500, 0.000, 0.500)
Hg (0.500, 0.500, 0.000)
Au (0.000, 0.000, 0.500)


Computed, not measured: crystalline MnCrIn4 at its relaxed geometry at the PBE level of DFT.

Results
- energy of formation (eV per atom) = 0.65

a = 5.881 Å, b = 5.881 Å, c = 5.881 Å
α = 60.00°, β = 60.00°, γ = 60.00°
Sites, in units of the cell vectors:
Mn (0.000, 0.000, 0.000)
Cr (0.750, 0.750, 0.750)
In (0.375, 0.375, 0.375)
In (0.375, 0.375, 0.875)
In (0.375, 0.875, 0.375)
In (0.875, 0.375, 0.375)


Computed, not measured: crystalline CaCuPb at its relaxed geometry at the PBE level of DFT.

Results
- energy of formation (eV per atom) = -0.11

a = 6.328 Å, b = 6.328 Å, c = 6.328 Å
α = 147.41°, β = 147.41°, γ = 46.76°
Sites, in units of the cell vectors:
Ca (0.000, 0.000, 0.000)
Cu (0.655, 0.655, 0.000)
Pb (0.289, 0.289, 0.000)


Computed, not measured: crystalline YHoZn at its relaxed geometry at the PBE level of DFT.

Results
- energy above the most stable polymorph in this dataset (eV/atom) = 0.000
- energy of formation (eV per atom) = -0.22

a = 6.598 Å, b = 6.598 Å, c = 6.598 Å
α = 148.57°, β = 148.57°, γ = 45.05°
Sites, in units of the cell vectors:
Y (0.000, 0.000, 0.000)
Ho (0.286, 0.286, 0.000)
Zn (0.646, 0.646, 0.000)